Entry 1:
{"formula": "Zn3Ga6Rh", "functional": "PBE", "state": "optimized geometry", "cell": [[5.5612, -2.6919, 0.0000], [5.5612, 2.6919, 0.0000], [-3.6641, 0.0000, 6.0537]], "species": ["Zn", "Zn", "Zn", "Ga", "Ga", "Ga", "Ga", "Ga", "Ga", "Rh"], "frac_coords": [[0.0000, 0.0000, 0.0000], [0.1310, 0.1310, 0.6818], [0.8690, 0.8690, 0.3182], [0.1407, 0.6151, 0.6674], [0.2880, 0.2880, 0.1171], [0.3849, 0.8593, 0.3326], [0.6151, 0.1407, 0.6674], [0.7120, 0.7120, 0.8829], [0.8593, 0.3849, 0.3326], [0.5000, 0.5000, 0.5000]], "dft_energy_ev_per_atom": -2.971, "dos_at_fermi_per_ev_fu": 2.4}


Entry 2:
{"formula": "ZrMnPb2", "functional": "PBE", "state": "optimized geometry", "cell": [[4.2142, 0.0000, 0.0000], [0.0000, 5.3615, 0.0000], [0.0000, 0.0000, 8.0920]], "species": ["Zr", "Zr", "Mn", "Mn", "Pb", "Pb", "Pb", "Pb"], "frac_coords": [[0.0000, 0.0000, 0.0000], [0.5000, 0.5000, 0.0000], [0.0000, 0.0000, 0.5000], [0.5000, 0.5000, 0.5000], [0.0000, 0.5000, 0.2691], [0.0000, 0.5000, 0.7309], [0.5000, 0.0000, 0.2691], [0.5000, 0.0000, 0.7309]], "polymorph_energy_ev_per_fu": 0.256, "dos_at_fermi_per_ev_fu": 1.7}


Entry 3:
{"formula": "Dy2TcN3", "functional": "PBE", "state": "optimized geometry", "cell": [[2.6038, -5.3688, 0.0000], [2.6038, 5.3688, 0.0000], [-1.0698, 0.0000, 11.7196]], "species": ["Dy", "Dy", "Dy", "Dy", "Dy", "Dy", "Dy", "Dy", "Tc", "Tc", "Tc", "Tc", "N", "N", "N", "N", "N", "N", "N", "N", "N", "N", "N", "N"], "frac_coords": [[0.0167, 0.4288, 0.3593], [0.1240, 0.3366, 0.9310], [0.3366, 0.1240, 0.4310], [0.4288, 0.0167, 0.8593], [0.5712, 0.9833, 0.1407], [0.6634, 0.8760, 0.5690], [0.8760, 0.6634, 0.0690], [0.9833, 0.5712, 0.6407], [0.2851, 0.3064, 0.1711], [0.3064, 0.2851, 0.6711], [0.6936, 0.7149, 0.3289], [0.7149, 0.6936, 0.8289], [0.0141, 0.9859, 0.7500], [0.1193, 0.4965, 0.1254], [0.1375, 0.3395, 0.5319], [0.3395, 0.1375, 0.0319], [0.3674, 0.6326, 0.7500], [0.4965, 0.1193, 0.6254], [0.5035, 0.8807, 0.3746], [0.6326, 0.3674, 0.2500], [0.6605, 0.8625, 0.9681], [0.8625, 0.6605, 0.4681], [0.8807, 0.5035, 0.8746], [0.9859, 0.0141, 0.2500]], "raw_formation_energy_ev_per_atom": -1.0380, "dos_at_fermi_per_ev_fu": 2.5}


Entry 4:
{"formula": "PuP2Rh", "functional": "PBE", "state": "optimized geometry", "cell": [[3.7057, 0.0000, 0.0000], [0.0000, 5.6321, 0.0000], [0.0000, 0.0000, 7.1119]], "species": ["Pu", "Pu", "P", "P", "P", "P", "Rh", "Rh"], "frac_coords": [[0.0000, 0.0000, 0.0000], [0.0000, 0.5000, 0.5000], [0.5000, 0.1945, 0.2923], [0.5000, 0.3055, 0.7923], [0.5000, 0.6945, 0.7923], [0.5000, 0.8055, 0.2923], [0.5000, 0.0000, 0.5852], [0.5000, 0.5000, 0.0852]], "dft_energy_ev_per_atom": -8.844, "dos_at_fermi_per_ev_fu": 8.4}


Entry 5:
{"formula": "Y4ZnGaCu2", "functional": "PBE", "state": "optimized geometry", "cell": [[2.5021, 1.4446, 8.1964], [-2.5021, 1.4446, 8.1964], [0.0000, -2.8892, 8.1964]], "species": ["Y", "Y", "Y", "Y", "Zn", "Ga", "Cu", "Cu"], "frac_coords": [[0.1247, 0.1247, 0.1247], [0.3747, 0.3747, 0.3747], [0.6253, 0.6253, 0.6253], [0.8753, 0.8753, 0.8753], [0.0000, 0.0000, 0.0000], [0.5000, 0.5000, 0.5000], [0.2518, 0.2518, 0.2518], [0.7482, 0.7482, 0.7482]], "dft_energy_ev_per_atom": -5.151, "dos_at_fermi_per_ev_fu": 5.9}


Entry 6:
{"formula": "AlSiMo", "functional": "PBE", "state": "optimized geometry", "cell": [[3.2202, 0.0000, 0.0000], [0.0000, 3.2202, 0.0000], [0.0000, 0.0000, 8.3908]], "species": ["Al", "Al", "Si", "Si", "Mo", "Mo"], "frac_coords": [[0.0000, 0.0000, 0.0000], [0.5000, 0.5000, 0.5000], [0.0000, 0.0000, 0.3281], [0.5000, 0.5000, 0.8281], [0.0000, 0.0000, 0.6768], [0.5000, 0.5000, 0.1768]], "raw_formation_energy_ev_per_atom": -0.3369, "dos_at_fermi_per_ev_fu": 2.4}


What did the second record say?
{"formula": "ZrMnPb2", "functional": "PBE", "state": "optimized geometry", "cell": [[4.2142, 0.0000, 0.0000], [0.0000, 5.3615, 0.0000], [0.0000, 0.0000, 8.0920]], "species": ["Zr", "Zr", "Mn", "Mn", "Pb", "Pb", "Pb", "Pb"], "frac_coords": [[0.0000, 0.0000, 0.0000], [0.5000, 0.5000, 0.0000], [0.0000, 0.0000, 0.5000], [0.5000, 0.5000, 0.5000], [0.0000, 0.5000, 0.2691], [0.0000, 0.5000, 0.7309], [0.5000, 0.0000, 0.2691], [0.5000, 0.0000, 0.7309]], "polymorph_energy_ev_per_fu": 0.256, "dos_at_fermi_per_ev_fu": 1.7}